1.
Compound: SrMgNi
Source: Alexandria
Functional: GGA-PBE
Structure: relaxed Values from VASP.

Quantum ESPRESSO input file:
```
&SYSTEM
  ibrav = 0, nat = 3, ntyp = 3
/
ATOMIC_SPECIES
Mg 24.30 Mg.upf
Ni 58.69 Ni.upf
Sr 87.62 Sr.upf
CELL_PARAMETERS angstrom
4.478 0.000 0.000
-2.239 3.878 0.000
0.000 0.000 4.451
ATOMIC_POSITIONS crystal
Mg 0.000 0.000 0.166
Ni 0.667 0.333 0.167
Sr 0.333 0.667 0.666
```

Output
The uncorrected energy comes out at -8.96 eV per cell. Its space-group type is P-6m2, No. 187.

2.
Compound: Sr2MgNi
Source: Alexandria
Functional: GGA-PBE
Structure: relaxed Values from VASP.

Quantum ESPRESSO input file:
```
&SYSTEM
  ibrav = 0, nat = 8, ntyp = 3
/
ATOMIC_SPECIES
Sr 87.62 Sr.upf
Mg 24.30 Mg.upf
Ni 58.69 Ni.upf
CELL_PARAMETERS angstrom
10.969 0.000 0.000
0.000 10.969 0.000
5.484 5.484 2.491
ATOMIC_POSITIONS crystal
Sr 0.792 0.125 0.250
Sr 0.958 0.625 0.250
Sr 0.375 0.208 0.750
Sr 0.875 0.042 0.750
Mg 0.500 0.500 0.000
Mg 0.250 0.750 0.500
Ni 0.000 0.000 0.000
Ni 0.750 0.250 0.500
```

Output
The uncorrected energy comes out at -20.73 eV per cell. Its space-group type is I-42d, No. 122.

3.
Compound: Sr2MgNi
Source: Alexandria
Functional: GGA-PBE
Structure: relaxed Values from VASP.

Quantum ESPRESSO input file:
```
&SYSTEM
  ibrav = 0, nat = 4, ntyp = 3
/
ATOMIC_SPECIES
Mg 24.30 Mg.upf
Ni 58.69 Ni.upf
Sr 87.62 Sr.upf
CELL_PARAMETERS angstrom
-2.540 -0.349 -3.698
-3.641 -1.452 2.637
-3.598 4.986 2.000
ATOMIC_POSITIONS crystal
Mg 0.000 0.678 0.520
Ni 0.500 0.569 0.736
Sr 0.000 0.984 0.908
Sr 0.500 0.269 0.337
```

Output
The uncorrected energy comes out at -10.64 eV per cell. Its space-group type is Amm2, No. 38.

4.
Compound: SrMgNi3
Source: Alexandria
Functional: GGA-PBE
Structure: relaxed Values from VASP.

Quantum ESPRESSO input file:
```
&SYSTEM
  ibrav = 0, nat = 5, ntyp = 3
/
ATOMIC_SPECIES
Sr 87.62 Sr.upf
Mg 24.30 Mg.upf
Ni 58.69 Ni.upf
CELL_PARAMETERS angstrom
4.605 0.000 0.000
0.000 4.605 0.000
0.000 0.000 4.605
ATOMIC_POSITIONS crystal
Sr 0.500 0.500 0.500
Mg 0.000 0.000 0.000
Ni 0.000 0.500 0.000
Ni 0.000 0.000 0.500
Ni 0.500 0.000 0.000
```

Output
The uncorrected energy comes out at -17.92 eV per cell. Its space-group type is Pm-3m, No. 221.

5.
Compound: SrMg2Ni2
Source: Alexandria
Functional: GGA-PBE
Structure: relaxed Values from VASP.

Quantum ESPRESSO input file:
```
&SYSTEM
  ibrav = 0, nat = 10, ntyp = 3
/
ATOMIC_SPECIES
Sr 87.62 Sr.upf
Mg 24.30 Mg.upf
Ni 58.69 Ni.upf
CELL_PARAMETERS angstrom
7.876 0.000 0.000
0.000 7.876 0.000
0.000 0.000 3.041
ATOMIC_POSITIONS crystal
Sr 0.000 0.000 0.000
Sr 0.500 0.500 0.000
Mg 0.131 0.631 0.500
Mg 0.631 0.869 0.500
Mg 0.869 0.369 0.500
Mg 0.369 0.131 0.500
Ni 0.340 0.840 0.000
Ni 0.840 0.660 0.000
Ni 0.660 0.160 0.000
Ni 0.160 0.340 0.000
```

Output
The uncorrected energy comes out at -32.64 eV per cell. Its space-group type is P4/mbm, No. 127.

6.
Compound: SrMg3Ni
Source: Alexandria
Functional: GGA-PBE
Structure: relaxed Values from VASP.

Quantum ESPRESSO input file:
```
&SYSTEM
  ibrav = 0, nat = 5, ntyp = 3
/
ATOMIC_SPECIES
Sr 87.62 Sr.upf
Mg 24.30 Mg.upf
Ni 58.69 Ni.upf
CELL_PARAMETERS angstrom
-3.342 -1.066 -3.571
-3.566 -0.481 3.481
-1.084 4.868 -0.439
ATOMIC_POSITIONS crystal
Sr 0.500 0.500 0.500
Mg 0.000 0.500 0.000
Mg 0.000 0.000 0.500
Mg 0.500 0.000 0.000
Ni 0.000 0.000 0.000
```

Output
The uncorrected energy comes out at -12.62 eV per cell. Its space-group type is Pm-3m, No. 221.

7.
Compound: Sr2MgNi16
Source: Alexandria
Functional: GGA-PBE
Structure: relaxed Values from VASP.

Quantum ESPRESSO input file:
```
&SYSTEM
  ibrav = 0, nat = 19, ntyp = 3
/
ATOMIC_SPECIES
Sr 87.62 Sr.upf
Mg 24.30 Mg.upf
Ni 58.69 Ni.upf
CELL_PARAMETERS angstrom
-0.893 -5.886 -2.305
-2.239 -2.550 5.408
-6.191 0.711 -1.388
ATOMIC_POSITIONS crystal
Sr 0.651 0.651 0.651
Sr 0.345 0.345 0.345
Mg 0.905 0.905 0.905
Ni 0.710 0.000 0.290
Ni 0.000 0.290 0.710
Ni 0.290 0.710 0.000
Ni 0.000 0.710 0.290
Ni 0.710 0.290 0.000
Ni 0.290 0.000 0.710
Ni 0.339 0.852 0.339
Ni 0.852 0.339 0.339
Ni 0.339 0.339 0.852
Ni 0.658 0.152 0.658
Ni 0.152 0.658 0.658
Ni 0.658 0.658 0.152
Ni 0.003 0.493 0.003
Ni 0.493 0.003 0.003
Ni 0.003 0.003 0.493
Ni 0.102 0.102 0.102
```

Output
The uncorrected energy comes out at -98.19 eV per cell. Its space-group type is R3m, No. 160.

8.
Compound: Sr2MgNi
Source: Alexandria
Functional: GGA-PBE
Structure: relaxed Values from VASP.

Quantum ESPRESSO input file:
```
&SYSTEM
  ibrav = 0, nat = 4, ntyp = 3
/
ATOMIC_SPECIES
Mg 24.30 Mg.upf
Ni 58.69 Ni.upf
Sr 87.62 Sr.upf
CELL_PARAMETERS angstrom
-1.924 6.387 -0.906
-5.070 4.412 -0.383
-0.955 2.765 4.694
ATOMIC_POSITIONS crystal
Mg 0.572 0.572 0.429
Ni 0.229 0.229 0.270
Sr 0.947 0.947 0.053
Sr 0.752 0.752 0.748
```

Output
The uncorrected energy comes out at -10.43 eV per cell. Its space-group type is Cm, No. 8.

9.
Compound: Sr2Mg2Ni
Source: Alexandria
Functional: GGA-PBE
Structure: relaxed Values from VASP.

Quantum ESPRESSO input file:
```
&SYSTEM
  ibrav = 0, nat = 5, ntyp = 3
/
ATOMIC_SPECIES
Sr 87.62 Sr.upf
Mg 24.30 Mg.upf
Ni 58.69 Ni.upf
CELL_PARAMETERS angstrom
-1.676 3.868 2.775
-3.686 0.806 -3.351
-6.911 -2.072 3.303
ATOMIC_POSITIONS crystal
Sr 0.750 0.250 0.500
Sr 0.250 0.750 0.500
Mg 0.407 0.407 0.186
Mg 0.593 0.593 0.814
Ni 0.000 0.000 0.000
```

Output
The uncorrected energy comes out at -8.03 eV per cell. Its space-group type is I4/mmm, No. 139.

10.
Compound: Sr2Mg2Ni
Source: Alexandria
Functional: GGA-PBE
Structure: relaxed Values from VASP.

Quantum ESPRESSO input file:
```
&SYSTEM
  ibrav = 0, nat = 10, ntyp = 3
/
ATOMIC_SPECIES
Sr 87.62 Sr.upf
Mg 24.30 Mg.upf
Ni 58.69 Ni.upf
CELL_PARAMETERS angstrom
7.269 0.000 0.000
0.000 7.269 0.000
0.000 0.000 5.583
ATOMIC_POSITIONS crystal
Sr 0.180 0.680 0.500
Sr 0.680 0.820 0.500
Sr 0.820 0.320 0.500
Sr 0.320 0.180 0.500
Mg 0.350 0.850 0.000
Mg 0.850 0.650 0.000
Mg 0.650 0.150 0.000
Mg 0.150 0.350 0.000
Ni 0.000 0.000 0.000
Ni 0.500 0.500 0.000
```

Output
The uncorrected energy comes out at -22.89 eV per cell. Its space-group type is P4/mbm, No. 127.

11.
Compound: Sr2MgNi
Source: Alexandria
Functional: GGA-PBE
Structure: relaxed Values from VASP.

Quantum ESPRESSO input file:
```
&SYSTEM
  ibrav = 0, nat = 4, ntyp = 3
/
ATOMIC_SPECIES
Mg 24.30 Mg.upf
Ni 58.69 Ni.upf
Sr 87.62 Sr.upf
CELL_PARAMETERS angstrom
-1.772 5.919 -0.799
-4.048 2.108 4.241
5.462 -2.989 0.206
ATOMIC_POSITIONS crystal
Mg 0.500 0.500 0.000
Ni 0.750 0.250 0.500
Sr 0.000 0.000 0.000
Sr 0.250 0.750 0.500
```

Output
The uncorrected energy comes out at -9.63 eV per cell. Its space-group type is I-4m2, No. 119.

12.
Compound: Sr2MgNi
Source: Alexandria
Functional: GGA-PBE
Structure: relaxed Values from VASP.

Quantum ESPRESSO input file:
```
&SYSTEM
  ibrav = 0, nat = 4, ntyp = 3
/
ATOMIC_SPECIES
Mg 24.30 Mg.upf
Ni 58.69 Ni.upf
Sr 87.62 Sr.upf
CELL_PARAMETERS angstrom
-1.937 -1.351 4.833
-4.988 -1.964 0.446
-0.750 -5.179 1.245
ATOMIC_POSITIONS crystal
Mg 0.500 0.500 0.500
Ni 0.750 0.750 0.750
Sr 0.000 0.000 0.000
Sr 0.250 0.250 0.250
```

Output
The uncorrected energy comes out at -9.48 eV per cell. Its space-group type is F-43m, No. 216.

| no. | DFT formation energy (kJ per mole of atoms) | N(E_F) (states/eV per cell) |
| --- | --- | --- |
| 1 | 3 | 0.6 |
| 2 | 9 | 2.9 |
| 3 | 2 | 2.7 |
| 4 | 52 | 2.8 |
| 5 | 2 | 3.2 |
| 6 | -7 | 2.4 |
| 7 | -4 | 26.1 |
| 8 | 8 | 3.0 |
| 9 | 83 | 6.4 |
| 10 | 17 | 8.7 |
| 11 | 27 | 3.3 |
| 12 | 30 | 5.8 |